[1]
A relaxed K4DyTa3O12 crystal. Source: the Alexandria database, functional PBE.

Properties
* formation energy without anion corrections: -2.486 eV per atom
* V: 286 Å³/cell
* space-group type: Im-3m (229)

abc: 7.1863 7.1863 7.1863
angles: 109.47 109.47 109.47
Closest atoms and distances in Å follow each position.
Sites, in units of the cell vectors:
K  0.5000  0.5000  0.5000  12 O 2.93-2.94
K  0.0000  0.0000  0.5000  12 O 2.93-2.94
K  0.5000  0.0000  0.0000  12 O 2.93-2.94
K  0.0000  0.5000  0.0000  12 O 2.93-2.94
Dy  0.0000  0.0000  0.0000  6 O 2.22
Ta  0.5000  0.0000  0.5000  6 O 1.93-2.07
Ta  0.5000  0.5000  0.0000  6 O 1.93-2.07
Ta  0.0000  0.5000  0.5000  6 O 1.93-2.07
O  0.2500  0.5000  0.7500  2 Ta 2.07
O  0.7323  0.0000  0.7323  1 Ta 1.93
O  0.2677  0.0000  0.2677  1 Ta 1.93
O  0.7500  0.5000  0.2500  2 Ta 2.07
O  0.7323  0.7323  0.0000  1 Ta 1.93
O  0.2677  0.2677  0.0000  1 Ta 1.93
O  0.7500  0.2500  0.5000  2 Ta 2.07
O  0.2500  0.7500  0.5000  2 Ta 2.07
O  0.5000  0.2500  0.7500  2 Ta 2.07
O  0.0000  0.7323  0.7323  1 Ta 1.93
O  0.5000  0.7500  0.2500  2 Ta 2.07
O  0.0000  0.2677  0.2677  1 Ta 1.93



[2]
A relaxed K2TbDyO4 crystal. Source: the Alexandria database, functional PBE.

Properties
* formation energy without anion corrections: -2.758 eV per atom
* V: 133 Å³/cell
* space-group type: P2/m (10)

abc: 3.4954 6.0547 6.5837
angles: 107.84 90.00 90.00
Closest atoms and distances in Å follow each position.
Sites, in units of the cell vectors:
K  0.5000  0.0000  0.5000  6 O 2.82
K  0.0000  0.5000  0.5000  6 O 2.82
Tb  0.0000  0.0000  0.0000  6 O 2.33-2.34
Dy  0.5000  0.5000  0.0000  6 O 2.32-2.33
O  0.5000  0.2297  0.1858  1 Dy 2.32, 2 Tb 2.33
O  0.5000  0.7703  0.8142  1 Dy 2.32, 2 Tb 2.33
O  0.0000  0.2727  0.8145  2 Dy 2.33, 1 Tb 2.34
O  0.0000  0.7273  0.1855  2 Dy 2.33, 1 Tb 2.34



[3]
A relaxed K3Tb2DyO6 crystal. Source: the Alexandria database, functional PBE.

Properties
* formation energy without anion corrections: -2.755 eV per atom
* V: 199 Å³/cell
* space-group type: C2/m (12)

abc: 6.0607 6.0607 6.5849
angles: 98.83 98.83 120.00
Closest atoms and distances in Å follow each position.
Sites, in units of the cell vectors:
K  0.1665  0.8335  0.5000  6 O 2.82-2.83
K  0.8335  0.1665  0.5000  6 O 2.82-2.83
K  0.5000  0.5000  0.5000  6 O 2.82-2.83
Tb  0.3333  0.6667  0.0000  6 O 2.34
Tb  0.6667  0.3333  0.0000  6 O 2.34
Dy  0.0000  0.0000  0.0000  6 O 2.32
O  0.9381  0.6061  0.8142  1 Dy 2.32, 2 Tb 2.34
O  0.7300  0.7300  0.1857  1 Dy 2.32, 2 Tb 2.34
O  0.0619  0.3939  0.1858  1 Dy 2.32, 2 Tb 2.34
O  0.6061  0.9381  0.8142  1 Dy 2.32, 2 Tb 2.34
O  0.2700  0.2700  0.8143  1 Dy 2.32, 2 Tb 2.34
O  0.3939  0.0619  0.1858  1 Dy 2.32, 2 Tb 2.34